The following is a DFT calculation (meta-GGA SCAN) of a crystal of K2NbF7 relaxed with PBEsol.

Values from the calculation:
Density   3.23 g cm⁻³
E_form (uncorrected)   -3.25 eV/atom
Fermi-level density of states   0.000 states/eV per cell
Space-group type   No. 14

a b c (Å): 5.8157 8.4940 12.6485
angles (deg): 90.00 90.00 90.15
With the nearest neighbours (Å) after each atom.
Sites, in units of the cell vectors:
K: 0.2389 0.0540 0.2180  9 F 2.64-2.86
K: 0.7611 0.4460 0.7180  9 F 2.64-2.86
K: 0.7611 0.9460 0.7820  9 F 2.64-2.86
K: 0.2389 0.5540 0.2820  9 F 2.64-2.86
K: 0.7610 0.3196 0.0596  9 F 2.64-2.85
K: 0.2390 0.1804 0.5596  9 F 2.64-2.85
K: 0.2390 0.6804 0.9404  9 F 2.64-2.85
K: 0.7610 0.8196 0.4404  9 F 2.64-2.85
Nb: 0.7325 0.2784 0.3716  7 F 1.95-2.00
Nb: 0.2675 0.2216 0.8716  7 F 1.95-2.00
Nb: 0.2675 0.7216 0.6284  7 F 1.95-2.00
Nb: 0.7325 0.7784 0.1284  7 F 1.95-2.00
F: 0.4397 0.3728 0.4243  1 Nb 2.00
F: 0.5603 0.1272 0.9243  1 Nb 2.00
F: 0.5603 0.6272 0.5757  1 Nb 2.00
F: 0.4397 0.8728 0.0757  1 Nb 2.00
F: 0.8192 0.5005 0.3778  1 Nb 1.95
F: 0.1808 0.9995 0.8778  1 Nb 1.95
F: 0.1808 0.4995 0.6222  1 Nb 1.95
F: 0.8192 0.0005 0.1222  1 Nb 1.95
F: 0.7920 0.2873 0.5243  1 Nb 1.96
F: 0.2080 0.2127 0.0243  1 Nb 1.96
F: 0.2080 0.7127 0.4757  1 Nb 1.96
F: 0.7920 0.7873 0.9757  1 Nb 1.96
F: 0.9586 0.8000 0.2461  1 Nb 1.99
F: 0.0414 0.7000 0.7461  1 Nb 1.99
F: 0.0414 0.2000 0.7539  1 Nb 1.99
F: 0.9586 0.3000 0.2539  1 Nb 1.99
F: 0.5373 0.7934 0.2574  1 Nb 1.99
F: 0.4627 0.7066 0.7574  1 Nb 1.99
F: 0.4627 0.2066 0.7426  1 Nb 1.99
F: 0.5373 0.2934 0.2426  1 Nb 1.99
F: 0.9614 0.6084 0.1067  1 Nb 1.99
F: 0.0386 0.8916 0.6067  1 Nb 1.99
F: 0.0386 0.3916 0.8933  1 Nb 1.99
F: 0.9614 0.1084 0.3933  1 Nb 1.99
F: 0.5347 0.5897 0.1093  1 Nb 1.99
F: 0.4653 0.9103 0.6093  1 Nb 1.99
F: 0.4653 0.4103 0.8907  1 Nb 1.99
F: 0.5347 0.0897 0.3907  1 Nb 1.99

The following is a DFT calculation (meta-GGA SCAN) of a crystal of BaMgTiF7 relaxed with PBEsol.

Values from the calculation:
Density   4.31 g cm⁻³
E_form (uncorrected)   -3.83 eV/atom
Space-group type   No. 14

a b c (Å): 5.5937 9.5662 9.8713
angles (deg): 90.00 90.00 92.79
With the nearest neighbours (Å) after each atom.
Sites, in units of the cell vectors:
Ba: 0.2661 0.4992 0.6804  5 F 2.60-2.86
Ba: 0.7339 0.0008 0.1804  5 F 2.60-2.86
Ba: 0.7339 0.5008 0.3196  5 F 2.60-2.86
Ba: 0.2661 0.9992 0.8196  5 F 2.60-2.86
Mg: 0.6931 0.8102 0.6056  6 F 1.91-2.08
Mg: 0.3069 0.6898 0.1056  6 F 1.91-2.08
Mg: 0.6931 0.3102 0.8944  6 F 1.91-2.08
Mg: 0.3069 0.1898 0.3944  6 F 1.91-2.08
Ti: 0.1935 0.8122 0.3897  6 F 1.90-2.02
Ti: 0.8065 0.1878 0.6103  6 F 1.90-2.02
Ti: 0.1935 0.3122 0.1103  6 F 1.90-2.02
Ti: 0.8065 0.6878 0.8897  6 F 1.90-2.02
F: 0.1217 0.1247 0.5519  1 Mg 1.95, 1 Ti 1.98
F: 0.3716 0.3729 0.9464  1 Ti 1.97, 1 Mg 1.99
F: 0.4778 0.7498 0.2846  1 Ti 2.01, 1 Mg 2.08
F: 0.5222 0.2502 0.7154  1 Ti 2.01, 1 Mg 2.08
F: 0.8924 0.3694 0.5433  1 Ti 1.90
F: 0.2569 0.4992 0.1919  1 Ti 1.98, 1 Mg 2.02
F: 0.0257 0.7519 0.2169  1 Ti 2.02, 1 Mg 2.03
F: 0.1076 0.1306 0.0433  1 Ti 1.90
F: 0.3716 0.8729 0.5536  1 Ti 1.97, 1 Mg 1.99
F: 0.5222 0.7502 0.7846  1 Ti 2.01, 1 Mg 2.08
F: 0.1217 0.6247 0.9481  1 Mg 1.95, 1 Ti 1.98
F: 0.8783 0.8753 0.4481  1 Mg 1.95, 1 Ti 1.98
F: 0.9743 0.7481 0.7169  1 Ti 2.02, 1 Mg 2.03
F: 0.3920 0.8731 0.0397  1 Mg 1.91
F: 0.1076 0.6306 0.4567  1 Ti 1.90
F: 0.8924 0.8694 0.9567  1 Ti 1.90
F: 0.9743 0.2481 0.7831  1 Ti 2.02, 1 Mg 2.03
F: 0.8783 0.3753 0.0519  1 Mg 1.95, 1 Ti 1.98
F: 0.6080 0.6269 0.5397  1 Mg 1.91
F: 0.6284 0.6271 0.0536  1 Ti 1.97, 1 Mg 1.99
F: 0.6080 0.1269 0.9603  1 Mg 1.91
F: 0.0257 0.2519 0.2831  1 Ti 2.02, 1 Mg 2.03
F: 0.3920 0.3731 0.4603  1 Mg 1.91
F: 0.7431 0.0008 0.6919  1 Ti 1.98, 1 Mg 2.02
F: 0.7431 0.5008 0.8081  1 Ti 1.98, 1 Mg 2.02
F: 0.2569 0.9992 0.3081  1 Ti 1.98, 1 Mg 2.02
F: 0.6284 0.1271 0.4464  1 Ti 1.97, 1 Mg 1.99
F: 0.4778 0.2498 0.2154  1 Ti 2.01, 1 Mg 2.08

The following is a DFT calculation (meta-GGA SCAN) of a crystal of La3Si3Ni relaxed with PBEsol.

Values from the calculation:
Density   5.89 g cm⁻³
E_form (uncorrected)   -0.76 eV/atom
Fermi-level density of states   4.442 states/eV per cell
Space-group type   No. 44

a b c (Å): 4.0368 4.3285 9.5004
angles (deg): 103.17 102.27 90.00
With the nearest neighbours (Å) after each atom.
Sites, in units of the cell vectors:
Ni: 0.4321 0.4321 0.8642  3 Si 2.26-2.32
Si: 0.8687 0.3687 0.7375  2 Ni 2.32
Si: 0.1367 0.6367 0.2733  2 Si 2.47
Si: 0.5574 0.5574 0.1148  1 Ni 2.26, 2 Si 2.47
La: 0.6864 0.1864 0.3728  7 Si 3.09-3.29
La: 0.3192 0.8192 0.6383  2 Ni 2.97, 5 Si 3.09-3.30
La: 0.9995 0.9995 0.9990  8 Si 3.14-3.29, 4 Ni 3.20

The following is a DFT calculation (meta-GGA SCAN) of a crystal of Zr3GaTe relaxed with PBEsol.

Values from the calculation:
Density   6.42 g cm⁻³
E_form (uncorrected)   0.19 eV/atom
Fermi-level density of states   4.579 states/eV per cell
Space-group type   No. 221

a b c (Å): 4.9574 4.9574 4.9574
angles (deg): 90.00 90.00 90.00
With the nearest neighbours (Å) after each atom.
Sites, in units of the cell vectors:
Te: 0.5000 0.5000 0.5000  12 Zr 3.51
Ga: 0.0000 0.0000 0.0000  6 Zr 2.48
Zr: 0.0000 0.5000 0.0000  2 Ga 2.48
Zr: 0.0000 0.0000 0.5000  2 Ga 2.48
Zr: 0.5000 0.0000 0.0000  2 Ga 2.48